Tb3Pr2Pd2 | PBE | relaxed

Geometry as CIF:
```
data_Tb3Pr2Pd2
_chemical_formula_sum 'Tb3 Pr2 Pd2'
_symmetry_space_group_name_H-M 'P 1'
_symmetry_Int_Tables_number 1
_symmetry_space_group_name_Hall 'P 1'
_cell_length_a 3.773
_cell_length_b 6.633
_cell_length_c 9.219
_cell_angle_alpha 116.37
_cell_angle_beta 90.00
_cell_angle_gamma 106.52
loop_
_atom_site_label
_atom_site_type_symbol
_atom_site_fract_x
_atom_site_fract_y
_atom_site_fract_z
Tb1 Tb 0.500 0.000 0.000
Tb2 Tb 0.384 0.768 0.558
Tb3 Tb 0.616 0.232 0.442
Pd1 Pd 0.163 0.326 0.240
Pd2 Pd 0.837 0.674 0.760
Pr1 Pr 0.154 0.309 0.813
Pr2 Pr 0.846 0.691 0.187
```

Calculated values
DFT formation energy: -0.504 eV per atom
Density: 8.2 Mg/m³
Space group: No. 12

TbPrPd2 | PBE | relaxed

Geometry as CIF:
```
data_TbPrPd2
_chemical_formula_sum 'Tb1 Pr1 Pd2'
_symmetry_space_group_name_H-M 'P 1'
_symmetry_Int_Tables_number 1
_symmetry_space_group_name_Hall 'P 1'
_cell_length_a 5.080
_cell_length_b 5.080
_cell_length_c 5.080
_cell_angle_alpha 60.00
_cell_angle_beta 60.00
_cell_angle_gamma 60.00
loop_
_atom_site_label
_atom_site_type_symbol
_atom_site_fract_x
_atom_site_fract_y
_atom_site_fract_z
Tb1 Tb 0.000 0.000 0.000
Pr1 Pr 0.500 0.500 0.500
Pd1 Pd 0.750 0.750 0.750
Pd2 Pd 0.250 0.250 0.250
```

Calculated values
DFT formation energy: -0.774 eV per atom
Density: 9.2 Mg/m³
Distance to the lowest polymorph of the same formula: 0.064 eV/atom
Space group: No. 225

Tb2PrPd | PBE | relaxed

Geometry as CIF:
```
data_Tb2PrPd
_chemical_formula_sum 'Tb2 Pr1 Pd1'
_symmetry_space_group_name_H-M 'P 1'
_symmetry_Int_Tables_number 1
_symmetry_space_group_name_Hall 'P 1'
_cell_length_a 3.905
_cell_length_b 3.905
_cell_length_c 9.550
_cell_angle_alpha 78.20
_cell_angle_beta 78.20
_cell_angle_gamma 60.00
loop_
_atom_site_label
_atom_site_type_symbol
_atom_site_fract_x
_atom_site_fract_y
_atom_site_fract_z
Tb1 Tb 0.271 0.271 0.186
Tb2 Tb 0.061 0.061 0.816
Pr1 Pr 0.501 0.501 0.496
Pd1 Pd 0.666 0.666 0.002
```

Calculated values
DFT formation energy: -0.313 eV per atom
Density: 7.7 Mg/m³
Distance to the lowest polymorph of the same formula: 0.131 eV/atom
Space group: No. 160

Tb2PrPd | PBE | relaxed

Geometry as CIF:
```
data_Tb2PrPd
_chemical_formula_sum 'Tb4 Pr2 Pd2'
_symmetry_space_group_name_H-M 'P 1'
_symmetry_Int_Tables_number 1
_symmetry_space_group_name_Hall 'P 1'
_cell_length_a 3.816
_cell_length_b 6.598
_cell_length_c 9.436
_cell_angle_alpha 90.00
_cell_angle_beta 90.00
_cell_angle_gamma 106.82
loop_
_atom_site_label
_atom_site_type_symbol
_atom_site_fract_x
_atom_site_fract_y
_atom_site_fract_z
Tb1 Tb 0.362 0.726 0.560
Tb2 Tb 0.638 0.274 0.440
Tb3 Tb 0.638 0.274 0.060
Tb4 Tb 0.362 0.726 0.940
Pd1 Pd 0.765 0.530 0.750
Pd2 Pd 0.235 0.470 0.250
Pr1 Pr 0.063 0.124 0.750
Pr2 Pr 0.937 0.876 0.250
```

Calculated values
DFT formation energy: -0.429 eV per atom
Density: 8.3 Mg/m³
Distance to the lowest polymorph of the same formula: 0.014 eV/atom
Space group: No. 11

TbPr2Pd2 | PBE | relaxed

Geometry as CIF:
```
data_TbPr2Pd2
_chemical_formula_sum 'Tb2 Pr4 Pd4'
_symmetry_space_group_name_H-M 'P 1'
_symmetry_Int_Tables_number 1
_symmetry_space_group_name_Hall 'P 1'
_cell_length_a 4.086
_cell_length_b 7.998
_cell_length_c 7.998
_cell_angle_alpha 90.00
_cell_angle_beta 90.00
_cell_angle_gamma 90.00
loop_
_atom_site_label
_atom_site_type_symbol
_atom_site_fract_x
_atom_site_fract_y
_atom_site_fract_z
Tb1 Tb 0.000 0.500 0.500
Tb2 Tb 0.000 0.000 0.000
Pr1 Pr 0.500 0.669 0.831
Pr2 Pr 0.500 0.831 0.331
Pr3 Pr 0.500 0.331 0.169
Pr4 Pr 0.500 0.169 0.669
Pd1 Pd 0.000 0.629 0.129
Pd2 Pd 0.000 0.129 0.371
Pd3 Pd 0.000 0.371 0.871
Pd4 Pd 0.000 0.871 0.629
```

Calculated values
DFT formation energy: -0.642 eV per atom
Density: 8.3 Mg/m³
Distance to the lowest polymorph of the same formula: 0.011 eV/atom
Space group: No. 127

TbPr2Pd | PBE | relaxed

Geometry as CIF:
```
data_TbPr2Pd
_chemical_formula_sum 'Tb1 Pr2 Pd1'
_symmetry_space_group_name_H-M 'P 1'
_symmetry_Int_Tables_number 1
_symmetry_space_group_name_Hall 'P 1'
_cell_length_a 3.731
_cell_length_b 3.731
_cell_length_c 8.465
_cell_angle_alpha 90.00
_cell_angle_beta 90.00
_cell_angle_gamma 90.00
loop_
_atom_site_label
_atom_site_type_symbol
_atom_site_fract_x
_atom_site_fract_y
_atom_site_fract_z
Pr1 Pr 0.000 0.000 0.205
Pr2 Pr 0.000 0.000 0.795
Tb1 Tb 0.500 0.500 0.500
Pd1 Pd 0.500 0.500 0.000
```

Calculated values
DFT formation energy: -0.301 eV per atom
Density: 7.7 Mg/m³
Distance to the lowest polymorph of the same formula: 0.066 eV/atom
Space group: No. 123